Entry from the Alexandria database: a relaxed RbMnO4 crystal (PBE+U).

Calculated values
E_tot = -5.719 eV per atom
calculated volume = 447.8 Å³ per cell

Lattice parameters (Å, degrees): 5.9085 7.8039 9.7113 90.00 90.00 90.00
Last column: nearest neighbours and their distance in Å.
Sites, in units of the cell vectors:
O (0.7500, 0.9583, 0.6645)  1 Mn 1.62
O (0.4740, 0.1848, 0.9201)  1 Mn 1.62
O (0.7500, 0.6266, 0.8999)  1 Mn 1.61
O (0.0260, 0.3152, 0.4201)  1 Mn 1.62
O (0.0260, 0.1848, 0.9201)  1 Mn 1.62
O (0.2500, 0.3734, 0.1001)  1 Mn 1.61
O (0.2500, 0.1266, 0.6001)  1 Mn 1.61
O (0.9740, 0.6848, 0.5799)  1 Mn 1.62
O (0.2500, 0.4583, 0.8355)  1 Mn 1.62
O (0.2500, 0.0417, 0.3355)  1 Mn 1.62
O (0.7500, 0.8734, 0.3999)  1 Mn 1.61
O (0.4740, 0.3152, 0.4201)  1 Mn 1.62
O (0.5260, 0.6848, 0.5799)  1 Mn 1.62
O (0.9740, 0.8152, 0.0799)  1 Mn 1.62
O (0.5260, 0.8152, 0.0799)  1 Mn 1.62
O (0.7500, 0.5417, 0.1645)  1 Mn 1.62
Mn (0.2500, 0.1985, 0.4442)  4 O 1.61-1.62
Mn (0.2500, 0.3015, 0.9442)  4 O 1.61-1.62
Mn (0.7500, 0.8015, 0.5558)  4 O 1.61-1.62
Mn (0.7500, 0.6985, 0.0558)  4 O 1.61-1.62
Rb (0.7500, 0.1557, 0.1853)  8 O 3.02-3.14
Rb (0.2500, 0.6557, 0.3147)  8 O 3.02-3.14
Rb (0.7500, 0.3443, 0.6853)  8 O 3.02-3.14
Rb (0.2500, 0.8443, 0.8147)  8 O 3.02-3.14